1.
Material: NaSc2Sb2
Method: DFT, GGA-PBE
State: optimized geometry

a b c (Å): 7.441 7.441 7.441
angles (deg): 142.35 142.35 54.30
Sites, in units of the cell vectors:
Na: 0.000 0.000 0.000
Sc: 0.250 0.750 0.500
Sc: 0.750 0.250 0.500
Sb: 0.371 0.371 0.000
Sb: 0.629 0.629 0.000

Calculated values
- E_form (uncorrected): -0.556 eV/atom
- ΔE to the lowest computed polymorph: 7.0 kJ per mole of atoms
- N(E_F): 0.49 states/eV per atom
- Calculated density: 3.9 g/cm³
- Electronic total energy: -25.01 eV per cell
- Spin magnetization: 0.687 μB per cell

***

2.
Material: NaSc2Sb
Method: DFT, GGA-PBE
State: optimized geometry

a b c (Å): 11.913 11.913 11.913
angles (deg): 16.00 16.00 16.00
Sites, in units of the cell vectors:
Na: 0.000 0.000 0.000
Sc: 0.418 0.418 0.418
Sc: 0.582 0.582 0.582
Sb: 0.500 0.500 0.500

Calculated values
- E_form (uncorrected): 0.235 eV/atom
- N(E_F): 1.56 states/eV per atom
- Calculated density: 3.5 g/cm³
- Electronic total energy: -17.16 eV per cell
- Spin magnetization: 0.000 μB per cell

***

3.
Material: NaScSb
Method: DFT, GGA-PBE
State: optimized geometry

a b c (Å): 4.751 4.751 7.662
angles (deg): 90.00 90.00 90.00
Sites, in units of the cell vectors:
Na: 0.250 0.250 0.145
Na: 0.750 0.750 0.855
Sc: 0.250 0.750 0.500
Sc: 0.750 0.250 0.500
Sb: 0.250 0.250 0.725
Sb: 0.750 0.750 0.275

Calculated values
- E_form (uncorrected): -0.595 eV/atom
- N(E_F): 0.55 states/eV per atom
- Calculated density: 3.6 g/cm³
- Electronic total energy: -27.11 eV per cell
- Spin magnetization: 1.059 μB per cell

***

4.
Material: NaSc4Sb2
Method: DFT, GGA-PBE
State: optimized geometry

a b c (Å): 8.427 8.427 8.427
angles (deg): 146.93 146.93 47.46
Sites, in units of the cell vectors:
Na: 0.000 0.000 0.000
Sc: 0.000 0.500 0.500
Sc: 0.183 0.183 0.000
Sc: 0.500 0.000 0.500
Sc: 0.817 0.817 0.000
Sb: 0.370 0.370 0.000
Sb: 0.630 0.630 0.000

Calculated values
- E_form (uncorrected): 0.163 eV/atom
- N(E_F): 1.26 states/eV per atom
- Calculated density: 4.2 g/cm³
- Electronic total energy: -33.75 eV per cell
- Spin magnetization: 0.000 μB per cell

***

5.
Material: NaSc2Sb2
Method: DFT, GGA-PBE
State: optimized geometry

a b c (Å): 7.679 7.679 7.679
angles (deg): 145.10 145.10 50.19
Sites, in units of the cell vectors:
Na: 0.000 0.000 0.000
Sc: 0.386 0.386 0.000
Sc: 0.614 0.614 0.000
Sb: 0.250 0.750 0.500
Sb: 0.750 0.250 0.500

Calculated values
- E_form (uncorrected): -0.112 eV/atom
- ΔE to the lowest computed polymorph: 49.8 kJ per mole of atoms
- N(E_F): 0.74 states/eV per atom
- Calculated density: 4.0 g/cm³
- Electronic total energy: -22.79 eV per cell
- Spin magnetization: 1.160 μB per cell

***

6.
Material: NaSc2Sb2
Method: DFT, GGA-PBE
State: optimized geometry

a b c (Å): 8.200 8.200 3.749
angles (deg): 90.00 90.00 90.00
Sites, in units of the cell vectors:
Na: 0.000 0.000 0.000
Na: 0.500 0.500 0.000
Sc: 0.140 0.360 0.500
Sc: 0.360 0.860 0.500
Sc: 0.640 0.140 0.500
Sc: 0.860 0.640 0.500
Sb: 0.157 0.657 0.000
Sb: 0.343 0.157 0.000
Sb: 0.657 0.843 0.000
Sb: 0.843 0.343 0.000

Calculated values
- E_form (uncorrected): -0.628 eV/atom
- ΔE to the lowest computed polymorph: 0.0 kJ per mole of atoms
- N(E_F): 0.63 states/eV per atom
- Calculated density: 4.7 g/cm³
- Electronic total energy: -50.74 eV per cell
- Spin magnetization: 1.981 μB per cell